# MgCrSF5

Crystalline MgCrSF5 at its relaxed geometry (PBE with a Hubbard U, Alexandria).

The structure in POSCAR format:
```
MgCrSF5
1.0
-3.8591 4.9345 -0.2103
-4.6261 -3.5415 2.3458
6.1552 2.3645 4.7425
F Cr S Mg
10 2 2 2
Direct
0.0544 0.4864 0.3495
0.9961 0.7909 0.2159
0.7754 0.7816 0.5326
0.9585 0.6325 0.7529
0.7276 0.3661 0.8830
0.1057 0.1901 0.5478
0.1385 0.1036 0.8432
0.6920 0.0788 0.0486
0.3890 0.5181 0.0951
0.4054 0.9108 0.6405
0.9404 0.1469 0.2877
0.0556 0.4456 0.0118
0.6883 0.6301 0.6489
0.5673 0.3031 0.4456
0.0898 0.8582 0.5192
0.4841 0.2103 0.9105
```

Values from the calculation:
final energy: -5.213 eV/atom
space group: No. 1
total magnetization: 8.00 μB/cell
energy above the lowest structure with this stoichiometry: 13.67 kJ/mol of atoms